{"formula": "Tl2InPb", "functional": "PBEsol", "state": "relaxed", "cell": [[3.4786, 0.0000, 0.0000], [0.0000, 3.4786, 0.0000], [0.0000, 0.0000, 9.2063]], "species": ["Tl", "Tl", "In", "Pb"], "fractional_positions": [[0.0000, 0.0000, 0.0000], [0.5000, 0.5000, 0.2577], [0.0000, 0.0000, 0.4983], [0.5000, 0.5000, 0.7416]], "energy_ry_per_atom": -0.2250, "crystal_system": "tetragonal", "sg": "P4mm"}

{"formula": "TlInPb2", "functional": "PBEsol", "state": "relaxed", "cell": [[3.3605, -5.4142, 0.0000], [3.3605, 5.4142, 0.0000], [-1.2480, 0.0000, 3.1104]], "species": ["Tl", "In", "Pb", "Pb"], "fractional_positions": [[0.0000, 0.0000, 0.0000], [0.5000, 0.5000, 0.0000], [0.0000, 0.5000, 0.5000], [0.5000, 0.0000, 0.5000]], "energy_ry_per_atom": -0.2475, "crystal_system": "monoclinic", "sg": "C2/m"}

{"formula": "TlIn2Pb", "functional": "PBEsol", "state": "relaxed", "cell": [[5.4445, 0.0000, 0.0000], [0.0000, 5.4445, 0.0000], [0.0000, 0.0000, 3.6897]], "species": ["Tl", "In", "In", "Pb"], "fractional_positions": [[0.0000, 0.0000, 0.0000], [0.0000, 0.5000, 0.5000], [0.5000, 0.0000, 0.5000], [0.5000, 0.5000, 0.0000]], "energy_ry_per_atom": -0.2295, "crystal_system": "tetragonal", "sg": "P4/mmm"}

{"formula": "TlIn2Pb", "functional": "PBEsol", "state": "relaxed", "cell": [[1.8564, -2.7703, 0.0000], [1.8564, 2.7703, 0.0000], [0.0000, 0.0000, 10.6112]], "species": ["Tl", "In", "In", "Pb"], "fractional_positions": [[0.0000, 0.0000, 0.0000], [0.0000, 0.0000, 0.5156], [0.5000, 0.5000, 0.7527], [0.5000, 0.5000, 0.2641]], "energy_ry_per_atom": -0.2297, "crystal_system": "orthorhombic", "sg": "Cmm2"}

E above lowest polymorph, respectively: 0 35 18 15 meV/atom.
D(E_F), respectively: 1.37 2.08 2.12 1.86 states/eV/cell.